The following is a DFT calculation (PBE) of crystalline InAsCSe2 at its relaxed geometry.

abc: 5.4128 5.4128 5.4168
angles: 90.00 90.00 90.00
Sites, in units of the cell vectors:
In (0.0000, 0.0000, 0.0000)
As (0.0000, 0.0000, 0.5000)
C (0.5000, 0.5000, 0.5000)
Se (0.0000, 0.5000, 0.0000)
Se (0.5000, 0.0000, 0.0000)

total magnetic moment	1.4	μB/f.u.
SG	No. 123
ΔE_f (raw)	198.4	kJ/mol of atoms